1.
Here is a geometry-optimized K2BaNiF8 structure from the Alexandria database. Energies are from GGA+U.

Cell lengths 4.5389, 7.7299, 5.9815 Å; angles 90.00, 97.09, 90.00 degrees
With the nearest neighbours (Å) after each atom.
Space group P2/m (No. 10)
One atom of each set of equivalent atoms:
1 K 0.0000 0.2303 0.0000  6 F 2.59-2.80
2 Ba 0.5000 0.5000 0.5000  8 F 2.66-2.83
3 Ni 0.5000 0.0000 0.5000  6 F 1.79-1.82
4 F 0.0293 0.5000 0.7459  2 K 2.59, 2 Ba 2.66-2.74
5 F 0.1518 0.0000 0.3236  1 Ni 1.79
6 F 0.3930 0.1715 0.6829  1 Ni 1.82

## Properties
Energy (eV for the cell shown): -51.542


2.
Here is a geometry-optimized KBaNiF6 structure from the Alexandria database. Energies are from GGA+U.

Cell lengths 6.4887, 6.4887, 8.0037 Å; angles 90.00, 90.00, 120.00 degrees
With the nearest neighbours (Å) after each atom.
Space group P-31c (No. 163)
One atom of each set of equivalent atoms:
1 K 0.0000 0.0000 0.0000  6 F 2.62
2 Ba 0.3333 0.6667 0.2500  6 F 2.72
3 Ni 0.3333 0.6667 0.7500  6 F 1.94
4 F 0.0856 0.4126 0.6173  1 Ni 1.94

## Properties
Energy (eV for the cell shown): -80.322


Which value of energy does entry 1 give? -51.542 eV for the cell shown